VASP calculation (PBE-GGA) on an optimized crystal structure of ErLuRe.

- Energy of formation: 1088 meV/atom
- Magnetization: 0.0 μB per cell
- E: -6.081 eV per atom

abc: 6.6728 6.6728 6.6728
angles: 90.00 90.00 90.00
Space group F-43m (No. 216)
Asymmetric unit:
Er  0.0000  0.0000  0.0000 x4
Lu  0.2500  0.2500  0.2500 x4
Re  0.0000  0.0000  0.5000 x4

***

VASP calculation (PBE-GGA) on an optimized crystal structure of Sm2GaPb.

- Magnetization: 0.1 μB per cell
- E: -4.618 eV per atom

abc: 4.2830 4.5712 11.5357
angles: 90.00 90.00 90.00
Space group Amm2 (No. 38)
Asymmetric unit:
Sm  0.0000  0.0000  0.0000 x2
Sm  0.5000  0.0000  0.2797 x2
Ga  0.5000  0.0000  0.5467 x2
Pb  0.0000  0.0000  0.7159 x2

***

VASP calculation (PBE-GGA) on an optimized crystal structure of HfScIr2.

- Energy of formation: -992 meV/atom
- Magnetization: 0.0 μB per cell
- E: -9.491 eV per atom
- Offset from the most stable computed form: 0 meV per atom

abc: 4.4444 4.4444 6.9370
angles: 90.00 90.00 90.00
Space group I4/mmm (No. 139)
Asymmetric unit:
Hf  0.0000  0.0000  0.0000 x2
Sc  0.0000  0.0000  0.5000 x2
Ir  0.0000  0.5000  0.2500 x4

***

Q: What is the E in the second record?
A: -4.618 eV per atom

***

Repeat the first record exactly.
VASP calculation (PBE-GGA) on an optimized crystal structure of ErLuRe.

- Energy of formation: 1088 meV/atom
- Magnetization: 0.0 μB per cell
- E: -6.081 eV per atom

abc: 6.6728 6.6728 6.6728
angles: 90.00 90.00 90.00
Space group F-43m (No. 216)
Asymmetric unit:
Er  0.0000  0.0000  0.0000 x4
Lu  0.2500  0.2500  0.2500 x4
Re  0.0000  0.0000  0.5000 x4